# AlCuRu, relaxed, DFT GGA-PBE
# theoretical density = 7.94 Mg/m³
# energy above the most stable polymorph in this dataset = 0.145 eV/atom
# crystal system = orthorhombic
# ΔE_f = -215 meV/atom
data_AlCuRu
_symmetry_space_group_name_H-M 'A m a 2'
_symmetry_Int_Tables_number 40
_cell_length_a 4.323
_cell_length_b 4.473
_cell_length_c 8.293
_cell_angle_alpha 90.00
_cell_angle_beta 90.00
_cell_angle_gamma 90.00
loop_
_symmetry_equiv_pos_as_xyz
'x,y,z'
'-x,-y,z'
'-x+1/2,y,z'
'x+1/2,-y,z'
'x,y+1/2,z+1/2'
'-x,-y+1/2,z+1/2'
'-x+1/2,y+1/2,z+1/2'
'x+1/2,-y+1/2,z+1/2'
loop_
_atom_site_label
_atom_site_type_symbol
_atom_site_fract_x
_atom_site_fract_y
_atom_site_fract_z
_atom_site_occupancy
Al1 Al 0.250 0.186 0.000 1
Cu1 Cu 0.250 0.173 0.336 1
Ru1 Ru 0.250 0.182 0.665 1